First-principles (GGA+U) data for a relaxed structure of Mn2NbBiO8, as listed in Alexandria via LeMat-Bulk.

The total energy comes out at -175.1 eV per cell. As for the density of states at the Fermi level: 2.708 states/eV/f.u.

The space group is Cmmm (No. 65) and the conventional cell measures 6.618, 6.698 and 6.532 Å, with angles of 90.00, 90.00 and 90.00 degrees. The distinct sites, in fractional coordinates, are Mn at (0.000, 0.000, 0.240), Nb at (0.000, 0.500, 0.000), Bi at (0.000, 0.500, 0.500), O at (0.000, 0.170, 0.500), O at (0.000, 0.194, 0.000) and O at (0.207, 0.500, 0.224).